# PBE-GGA LaMoN3, optimized geometry
data_LaMoN3
_cell_length_a 3.234
_cell_length_b 8.032
_cell_length_c 6.420
_cell_angle_alpha 66.14
_cell_angle_beta 104.59
_cell_angle_gamma 90.00
_space_group_name_H-M_alt 'P 1'
_space_group_IT_number 1
_space_group_name_Hall 'P 1'
loop_
_atom_site_label
_atom_site_fract_x
_atom_site_fract_y
_atom_site_fract_z
La1 0.929 0.678 0.009
N1 0.933 0.022 0.018
N2 0.104 0.305 0.359
N3 0.805 0.502 0.760
N4 0.244 0.843 0.639
Mo1 0.201 0.647 0.554
N5 0.833 0.143 0.818
La2 0.583 0.079 0.318
Mo2 0.695 0.359 0.542
N6 0.582 0.665 0.314
# symmetry = Cm, No. 8
# energy relative to the elements, uncorrected = -0.603 eV per atom
# VASP energy = -8.750 eV/atom

=====

# PBE-GGA KTl8Pb2, optimized geometry
data_KTl8Pb2
_cell_length_a 6.099
_cell_length_b 9.281
_cell_length_c 9.901
_cell_angle_alpha 62.05
_cell_angle_beta 71.61
_cell_angle_gamma 47.68
_space_group_name_H-M_alt 'P 1'
_space_group_IT_number 1
_space_group_name_Hall 'P 1'
loop_
_atom_site_label
_atom_site_fract_x
_atom_site_fract_y
_atom_site_fract_z
Tl1 0.228 0.905 0.722
Tl2 0.746 0.505 0.000
Pb1 0.000 0.324 0.351
Pb2 0.000 0.676 0.649
Tl3 0.772 0.095 0.278
Tl4 0.254 0.495 0.000
Tl5 0.772 0.373 0.722
Tl6 0.500 0.204 0.592
K1 0.500 0.000 0.000
Tl7 0.500 0.796 0.408
Tl8 0.228 0.627 0.278
# DFT formation energy = 0.00 eV per atom
# symmetry = C2/m, No. 12
# energy above the lowest structure with this stoichiometry = 0.000 eV per atom
# VASP energy = -2.494 eV/atom

=====

# PBE-GGA KLa2Mg, optimized geometry
data_KLa2Mg
_cell_length_a 6.631
_cell_length_b 6.631
_cell_length_c 6.631
_cell_angle_alpha 134.05
_cell_angle_beta 134.05
_cell_angle_gamma 67.01
_space_group_name_H-M_alt 'P 1'
_space_group_IT_number 1
_space_group_name_Hall 'P 1'
loop_
_atom_site_label
_atom_site_fract_x
_atom_site_fract_y
_atom_site_fract_z
La1 0.000 0.000 0.000
K1 0.750 0.250 0.500
La2 0.250 0.750 0.500
Mg1 0.500 0.500 0.000
# DFT formation energy = 0.38 eV per atom
# symmetry = I-4m2, No. 119
# VASP energy = -2.762 eV/atom

=====

# PBE-GGA BaNaBe2As, optimized geometry
data_BaNaBe2As
_cell_length_a 4.649
_cell_length_b 6.121
_cell_length_c 4.649
_cell_angle_alpha 90.00
_cell_angle_beta 90.00
_cell_angle_gamma 90.00
_space_group_name_H-M_alt 'P 1'
_space_group_IT_number 1
_space_group_name_Hall 'P 1'
loop_
_atom_site_label
_atom_site_fract_x
_atom_site_fract_y
_atom_site_fract_z
As1 0.000 0.000 0.000
Na1 0.500 0.500 0.500
Ba1 0.000 0.500 0.000
Be1 0.500 0.000 0.000
Be2 0.000 0.000 0.500
# DFT formation energy = 0.55 eV per atom
# symmetry = P4/mmm, No. 123
# VASP energy = -2.521 eV/atom

=====

# PBE-GGA KTc2Pb, optimized geometry
data_KTc2Pb
_cell_length_a 4.371
_cell_length_b 4.371
_cell_length_c 8.009
_cell_angle_alpha 84.01
_cell_angle_beta 84.01
_cell_angle_gamma 42.51
_space_group_name_H-M_alt 'P 1'
_space_group_IT_number 1
_space_group_name_Hall 'P 1'
loop_
_atom_site_label
_atom_site_fract_x
_atom_site_fract_y
_atom_site_fract_z
Tc1 0.730 0.730 0.855
Pb1 0.265 0.265 0.173
Tc2 0.008 0.008 0.947
K1 0.498 0.498 0.525
# DFT formation energy = 0.56 eV per atom
# symmetry = Cm, No. 8
# VASP energy = -5.824 eV/atom

=====

# PBE-GGA Ba6Sr2Au, optimized geometry
data_Ba6Sr2Au
_cell_length_a 4.414
_cell_length_b 4.414
_cell_length_c 30.477
_cell_angle_alpha 90.00
_cell_angle_beta 90.00
_cell_angle_gamma 120.00
_space_group_name_H-M_alt 'P 1'
_space_group_IT_number 1
_space_group_name_Hall 'P 1'
loop_
_atom_site_label
_atom_site_fract_x
_atom_site_fract_y
_atom_site_fract_z
Ba1 0.333 0.667 0.433
Ba2 0.667 0.333 0.069
Ba3 0.667 0.333 0.931
Ba4 0.333 0.667 0.196
Sr1 0.667 0.333 0.314
Ba5 0.333 0.667 0.804
Au1 0.333 0.667 0.000
Ba6 0.333 0.667 0.567
Sr2 0.667 0.333 0.686
# DFT formation energy = -0.11 eV per atom
# symmetry = P-6m2, No. 187
# energy above the lowest structure with this stoichiometry = 0.053 eV per atom
# VASP energy = -2.127 eV/atom

=====

# PBE-GGA InSb2H, optimized geometry
data_InSb2H
_cell_length_a 5.006
_cell_length_b 5.006
_cell_length_c 5.006
_cell_angle_alpha 60.00
_cell_angle_beta 60.00
_cell_angle_gamma 60.00
_space_group_name_H-M_alt 'P 1'
_space_group_IT_number 1
_space_group_name_Hall 'P 1'
loop_
_atom_site_label
_atom_site_fract_x
_atom_site_fract_y
_atom_site_fract_z
H1 0.000 0.000 0.000
Sb1 0.250 0.250 0.250
Sb2 0.750 0.750 0.750
In1 0.500 0.500 0.500
# symmetry = Fm-3m, No. 225
# energy above the lowest structure with this stoichiometry = 0.179 eV per atom
# VASP energy = -3.040 eV/atom

=====

# PBE-GGA CsCo3Se, optimized geometry
data_CsCo3Se
_cell_length_a 4.658
_cell_length_b 4.658
_cell_length_c 4.658
_cell_angle_alpha 90.00
_cell_angle_beta 90.00
_cell_angle_gamma 90.00
_space_group_name_H-M_alt 'P 1'
_space_group_IT_number 1
_space_group_name_Hall 'P 1'
loop_
_atom_site_label
_atom_site_fract_x
_atom_site_fract_y
_atom_site_fract_z
Co1 0.500 0.000 0.000
Cs1 0.500 0.500 0.500
Co2 0.000 0.500 0.000
Co3 0.000 0.000 0.500
Se1 0.000 0.000 0.000
# symmetry = Pm-3m, No. 221
# energy above the lowest structure with this stoichiometry = 0.000 eV per atom
# energy relative to the elements, uncorrected = 0.847 eV per atom
# VASP energy = -4.285 eV/atom

=====

# PBE-GGA YGa3Cl6, optimized geometry
data_YGa3Cl6
_cell_length_a 8.558
_cell_length_b 8.558
_cell_length_c 8.558
_cell_angle_alpha 92.35
_cell_angle_beta 92.35
_cell_angle_gamma 92.35
_space_group_name_H-M_alt 'P 1'
_space_group_IT_number 1
_space_group_name_Hall 'P 1'
loop_
_atom_site_label
_atom_site_fract_x
_atom_site_fract_y
_atom_site_fract_z
Y1 0.500 0.500 0.500
Cl1 0.200 0.443 0.551
Ga1 0.916 0.250 0.584
Cl2 0.943 0.700 0.051
Cl3 0.800 0.557 0.449
Ga2 0.250 0.584 0.916
Y2 0.000 0.000 0.000
Cl4 0.551 0.200 0.443
Cl5 0.057 0.300 0.949
Ga3 0.584 0.916 0.250
Cl6 0.949 0.057 0.300
Cl7 0.557 0.449 0.800
Cl8 0.051 0.943 0.700
Cl9 0.443 0.551 0.200
Cl10 0.300 0.949 0.057
Ga4 0.416 0.084 0.750
Cl11 0.700 0.051 0.943
Cl12 0.449 0.800 0.557
Ga5 0.084 0.750 0.416
Ga6 0.750 0.416 0.084
# symmetry = R-3c, No. 167
# energy relative to the elements, uncorrected = -1.319 eV per atom
# VASP energy = -3.981 eV/atom

=====

# PBE-GGA Nd2ZnI, optimized geometry
data_Nd2ZnI
_cell_length_a 4.205
_cell_length_b 4.205
_cell_length_c 8.415
_cell_angle_alpha 75.53
_cell_angle_beta 75.53
_cell_angle_gamma 60.00
_space_group_name_H-M_alt 'P 1'
_space_group_IT_number 1
_space_group_name_Hall 'P 1'
loop_
_atom_site_label
_atom_site_fract_x
_atom_site_fract_y
_atom_site_fract_z
I1 0.500 0.500 0.500
Nd1 0.261 0.261 0.218
Nd2 0.739 0.739 0.782
Zn1 0.000 0.000 0.000
# symmetry = R-3m, No. 166
# energy above the lowest structure with this stoichiometry = 0.006 eV per atom
# energy relative to the elements, uncorrected = -0.562 eV per atom
# VASP energy = -3.652 eV/atom

=====

# PBE-GGA PrSi2Rh4, optimized geometry
data_PrSi2Rh4
_cell_length_a 3.798
_cell_length_b 7.729
_cell_length_c 7.729
_cell_angle_alpha 90.00
_cell_angle_beta 90.00
_cell_angle_gamma 90.00
_space_group_name_H-M_alt 'P 1'
_space_group_IT_number 1
_space_group_name_Hall 'P 1'
loop_
_atom_site_label
_atom_site_fract_x
_atom_site_fract_y
_atom_site_fract_z
Si1 0.000 0.772 0.228
Pr1 0.500 0.000 0.000
Si2 0.000 0.228 0.772
Rh1 0.500 0.833 0.424
Si3 0.500 0.272 0.272
Rh2 0.500 0.424 0.833
Rh3 0.500 0.576 0.167
Rh4 0.000 0.333 0.076
Rh5 0.000 0.076 0.333
Rh6 0.000 0.667 0.924
Pr2 0.000 0.500 0.500
Rh7 0.500 0.167 0.576
Si4 0.500 0.728 0.728
Rh8 0.000 0.924 0.667
# symmetry = P4_2/mnm, No. 136
# energy above the lowest structure with this stoichiometry = 0.000 eV per atom
# energy relative to the elements, uncorrected = -0.834 eV per atom
# VASP energy = -7.267 eV/atom

=====

# PBE-GGA BaTaTc2, optimized geometry
data_BaTaTc2
_cell_length_a 9.619
_cell_length_b 9.619
_cell_length_c 9.619
_cell_angle_alpha 19.02
_cell_angle_beta 19.02
_cell_angle_gamma 19.02
_space_group_name_H-M_alt 'P 1'
_space_group_IT_number 1
_space_group_name_Hall 'P 1'
loop_
_atom_site_label
_atom_site_fract_x
_atom_site_fract_y
_atom_site_fract_z
Ta1 0.750 0.750 0.750
Tc1 0.016 0.016 0.016
Ba1 0.250 0.250 0.250
Tc2 0.484 0.484 0.484
# DFT formation energy = 0.67 eV per atom
# symmetry = R-3m, No. 166
# energy above the lowest structure with this stoichiometry = 0.219 eV per atom
# VASP energy = -7.961 eV/atom

=====

# PBE-GGA Zr2SiAs, optimized geometry
data_Zr2SiAs
_cell_length_a 4.754
_cell_length_b 4.754
_cell_length_c 4.754
_cell_angle_alpha 60.00
_cell_angle_beta 60.00
_cell_angle_gamma 60.00
_space_group_name_H-M_alt 'P 1'
_space_group_IT_number 1
_space_group_name_Hall 'P 1'
loop_
_atom_site_label
_atom_site_fract_x
_atom_site_fract_y
_atom_site_fract_z
Si1 0.250 0.250 0.250
Zr1 0.750 0.750 0.750
Zr2 0.000 0.000 0.000
As1 0.500 0.500 0.500
# symmetry = F-43m, No. 216
# energy above the lowest structure with this stoichiometry = 0.895 eV per atom
# energy relative to the elements, uncorrected = -0.019 eV per atom
# VASP energy = -6.811 eV/atom

=====

# PBE-GGA NpPaGa2, optimized geometry
data_NpPaGa2
_cell_length_a 3.028
_cell_length_b 3.028
_cell_length_c 10.613
_cell_angle_alpha 81.80
_cell_angle_beta 81.80
_cell_angle_gamma 60.00
_space_group_name_H-M_alt 'P 1'
_space_group_IT_number 1
_space_group_name_Hall 'P 1'
loop_
_atom_site_label
_atom_site_fract_x
_atom_site_fract_y
_atom_site_fract_z
Ga1 0.250 0.250 0.251
Ga2 0.750 0.750 0.749
Pa1 0.000 0.000 0.000
Np1 0.500 0.500 0.500
# DFT formation energy = -0.06 eV per atom
# symmetry = R-3m, No. 166
# energy above the lowest structure with this stoichiometry = 0.078 eV per atom
# VASP energy = -7.183 eV/atom